(1)
Here is a relaxed structure of KMn2Au from Alexandria via LeMat-Bulk. Energies are from PBE. Values from VASP.

Geometry as Quantum ESPRESSO input:
```
&SYSTEM
  ibrav = 0, nat = 4, ntyp = 3
/
ATOMIC_SPECIES
Au 196.97 Au.upf
K 39.10 K.upf
Mn 54.94 Mn.upf
ATOMIC_POSITIONS crystal
Au 0.5000 0.5000 0.2500
K 0.5000 0.5000 0.7500
Mn 0.0000 0.0000 0.0897
Mn 0.0000 0.0000 0.4103
CELL_PARAMETERS angstrom
3.4378 0.0000 0.0000
0.0000 3.4378 0.0000
0.0000 0.0000 8.2748
```

- Calculated volume: 98 Å³ per cell
- ΔE_f: 12.22 kcal/mol of atoms
- Uncorrected energy: -5.1487 eV per atom
- Spin magnetization: 8.8 Bohr magnetons per cell
- Energy above the lowest structure with this stoichiometry: 133 meV/atom

(2)
Here is a relaxed structure of CsB3Te from Alexandria via LeMat-Bulk. Energies are from PBE. Values from VASP.

Geometry as Quantum ESPRESSO input:
```
&SYSTEM
  ibrav = 0, nat = 5, ntyp = 3
/
ATOMIC_SPECIES
Cs 132.91 Cs.upf
B 10.81 B.upf
Te 127.60 Te.upf
ATOMIC_POSITIONS crystal
Cs 0.0000 0.0000 0.0000
B 0.0000 0.5000 0.0000
B 0.0000 0.0000 0.5000
B 0.5000 0.0000 0.0000
Te 0.5000 0.5000 0.5000
CELL_PARAMETERS angstrom
-2.6750 -0.9422 4.2311
0.4714 -5.0057 -0.8167
4.3091 -0.0374 2.7159
```

- Calculated volume: 132 Å³ per cell
- Uncorrected energy: -1.6934 eV per atom
- Spin magnetization: 0.0 Bohr magnetons per cell
- Energy above the lowest structure with this stoichiometry: 1051 meV/atom

(3)
Here is a relaxed structure of Ba2UBr4O2 from Alexandria via LeMat-Bulk. Energies are from PBE. Values from VASP.

Geometry as Quantum ESPRESSO input:
```
&SYSTEM
  ibrav = 0, nat = 9, ntyp = 4
/
ATOMIC_SPECIES
Ba 137.33 Ba.upf
U 238.03 U.upf
Br 79.90 Br.upf
O 16.00 O.upf
ATOMIC_POSITIONS crystal
Ba 0.1616 0.7062 0.7062
Ba 0.8384 0.2938 0.2938
U 0.5000 0.0000 0.0000
Br 0.2869 0.6101 0.1619
Br 0.7131 0.8381 0.3899
Br 0.7131 0.3899 0.8381
Br 0.2869 0.1619 0.6101
O 0.2195 0.1277 0.1277
O 0.7805 0.8723 0.8723
CELL_PARAMETERS angstrom
5.1931 -0.0033 -0.0023
1.1612 7.4500 -0.0997
1.1612 2.6427 6.9663
```

- Calculated volume: 271 Å³ per cell
- Uncorrected energy: -5.7771 eV per atom
- Spin magnetization: 2.0 Bohr magnetons per cell

Look up the calculated volume of the first one. 98 Å³ per cell

Look up the calculated volume of the third one. 271 Å³ per cell

What is the formula in the third record? Ba2UBr4O2